Here is a geometry-optimized TlAs2Ru structure from Alexandria via LeMat-Bulk. Energies are from PBE.

Geometry as CIF:
```
data_TlAs2Ru
_symmetry_space_group_name_H-M 'C 1 m 1'
_symmetry_Int_Tables_number 8
_symmetry_space_group_name_Hall 'C -2y'
_cell_length_a 8.476
_cell_length_b 3.289
_cell_length_c 6.672
_cell_angle_alpha 90.00
_cell_angle_beta 105.78
_cell_angle_gamma 90.00
loop_
_atom_site_label
_atom_site_fract_x
_atom_site_fract_y
_atom_site_fract_z
_atom_site_occupancy
Tl1 0.000 0.000 0.000 1
As1 0.202 0.000 0.701 1
As2 0.345 0.000 0.362 1
Ru1 0.144 0.500 0.423 1
```

Energy relative to the lowest polymorph listed for this composition (eV per atom): 0.049
DOS(E_F) (states/eV/atom): 0.53
Energy of formation (eV/atom): 0.014
Crystal system: monoclinic
Total magnetization (μB/cell): 0.0

***

Here is a geometry-optimized KCo4Ru structure from Alexandria via LeMat-Bulk. Energies are from PBE.

Geometry as CIF:
```
data_KCo4Ru
_symmetry_space_group_name_H-M 'F -4 3 m'
_symmetry_Int_Tables_number 216
_symmetry_space_group_name_Hall 'F -4 2 3'
_cell_length_a 7.014
_cell_length_b 7.014
_cell_length_c 7.014
_cell_angle_alpha 90.00
_cell_angle_beta 90.00
_cell_angle_gamma 90.00
loop_
_atom_site_label
_atom_site_fract_x
_atom_site_fract_y
_atom_site_fract_z
_atom_site_occupancy
K1 0.000 0.000 0.000 1
Co1 0.123 0.123 0.377 1
Ru1 0.250 0.250 0.750 1
```

DOS(E_F) (states/eV/atom): 1.32
Energy of formation (eV/atom): 0.816
Crystal system: cubic
Total magnetization (μB/cell): 34.4

***

Here is a geometry-optimized NbTlC3 structure from Alexandria via LeMat-Bulk. Energies are from PBE.

Geometry as CIF:
```
data_NbTlC3
_symmetry_space_group_name_H-M 'P m -3 m'
_symmetry_Int_Tables_number 221
_symmetry_space_group_name_Hall '-P 4 2 3'
_cell_length_a 4.311
_cell_length_b 4.311
_cell_length_c 4.311
_cell_angle_alpha 90.00
_cell_angle_beta 90.00
_cell_angle_gamma 90.00
loop_
_atom_site_label
_atom_site_fract_x
_atom_site_fract_y
_atom_site_fract_z
_atom_site_occupancy
Nb1 0.000 0.000 0.000 1
Tl1 0.500 0.500 0.500 1
C1 0.000 0.000 0.500 1
```

Energy relative to the lowest polymorph listed for this composition (eV per atom): 0.000
DOS(E_F) (states/eV/atom): 0.61
Energy of formation (eV/atom): 1.842
Crystal system: cubic
Total magnetization (μB/cell): 0.0

***

Here is a geometry-optimized Ce3TlP structure from Alexandria via LeMat-Bulk. Energies are from PBE.

Geometry as CIF:
```
data_Ce3TlP
_symmetry_space_group_name_H-M 'P m -3 m'
_symmetry_Int_Tables_number 221
_symmetry_space_group_name_Hall '-P 4 2 3'
_cell_length_a 5.369
_cell_length_b 5.369
_cell_length_c 5.369
_cell_angle_alpha 90.00
_cell_angle_beta 90.00
_cell_angle_gamma 90.00
loop_
_atom_site_label
_atom_site_fract_x
_atom_site_fract_y
_atom_site_fract_z
_atom_site_occupancy
Ce1 0.000 0.000 0.500 1
Tl1 0.500 0.500 0.500 1
P1 0.000 0.000 0.000 1
```

DOS(E_F) (states/eV/atom): 2.51
Energy of formation (eV/atom): -0.500
Crystal system: cubic
Total magnetization (μB/cell): 2.6

***

Here is a geometry-optimized Sc2MnAs2 structure from Alexandria via LeMat-Bulk. Energies are from PBE.

Geometry as CIF:
```
data_Sc2MnAs2
_symmetry_space_group_name_H-M 'P 4/m b m'
_symmetry_Int_Tables_number 127
_symmetry_space_group_name_Hall '-P 4 2ab'
_cell_length_a 6.467
_cell_length_b 6.467
_cell_length_c 4.018
_cell_angle_alpha 90.00
_cell_angle_beta 90.00
_cell_angle_gamma 90.00
loop_
_atom_site_label
_atom_site_fract_x
_atom_site_fract_y
_atom_site_fract_z
_atom_site_occupancy
Sc1 0.168 0.332 0.000 1
Mn1 0.000 0.000 0.500 1
As1 0.147 0.647 0.500 1
```

DOS(E_F) (states/eV/atom): 1.71
Energy of formation (eV/atom): -0.741
Crystal system: tetragonal
Total magnetization (μB/cell): 0.0

***

Here is a geometry-optimized Y3ErHg4 structure from Alexandria via LeMat-Bulk. Energies are from PBE.

Geometry as CIF:
```
data_Y3ErHg4
_symmetry_space_group_name_H-M 'P 4/m m m'
_symmetry_Int_Tables_number 123
_symmetry_space_group_name_Hall '-P 4 2'
_cell_length_a 3.718
_cell_length_b 3.718
_cell_length_c 14.894
_cell_angle_alpha 90.00
_cell_angle_beta 90.00
_cell_angle_gamma 90.00
loop_
_atom_site_label
_atom_site_fract_x
_atom_site_fract_y
_atom_site_fract_z
_atom_site_occupancy
Y1 0.000 0.000 0.000 1
Y2 0.000 0.000 0.252 1
Er1 0.000 0.000 0.500 1
Hg1 0.500 0.500 0.125 1
Hg2 0.500 0.500 0.378 1
```

DOS(E_F) (states/eV/atom): 1.00
Energy of formation (eV/atom): -0.502
Crystal system: tetragonal
Total magnetization (μB/cell): 0.0

***

Here is a geometry-optimized NaTa2Te structure from Alexandria via LeMat-Bulk. Energies are from PBE.

Geometry as CIF:
```
data_NaTa2Te
_symmetry_space_group_name_H-M 'I -4 2 d'
_symmetry_Int_Tables_number 122
_symmetry_space_group_name_Hall 'I -4 2bw'
_cell_length_a 8.249
_cell_length_b 8.249
_cell_length_c 5.459
_cell_angle_alpha 90.00
_cell_angle_beta 90.00
_cell_angle_gamma 90.00
loop_
_atom_site_label
_atom_site_fract_x
_atom_site_fract_y
_atom_site_fract_z
_atom_site_occupancy
Na1 0.000 0.000 0.000 1
Ta1 0.202 0.250 0.625 1
Te1 0.000 0.000 0.500 1
```

Formation energy from raw total energies (meV/atom): 975
DOS(E_F) (states/eV/atom): 0.68
Crystal system: tetragonal
Total magnetization (μB/cell): 0.0

***

Here is a geometry-optimized Hf3C2 structure from Alexandria via LeMat-Bulk. Energies are from PBE.

Geometry as CIF:
```
data_Hf3C2
_symmetry_space_group_name_H-M 'F d d d'
_symmetry_Int_Tables_number 70
_cell_length_a 6.550
_cell_length_b 9.324
_cell_length_c 19.690
_cell_angle_alpha 90.00
_cell_angle_beta 90.00
_cell_angle_gamma 90.00
loop_
_symmetry_equiv_pos_as_xyz
'x,y,z'
'-x,-y,-z'
'-x+1/4,-y+1/4,z'
'x+1/4,y+1/4,-z'
'x,-y+1/4,-z+1/4'
'-x,y+1/4,z+1/4'
'-x+1/4,y,-z+1/4'
'x+1/4,-y,z+1/4'
'x,y+1/2,z+1/2'
'-x,-y+1/2,-z+1/2'
'-x+1/4,-y+3/4,z+1/2'
'x+1/4,y+3/4,-z+1/2'
'x,-y+3/4,-z+3/4'
'-x,y+3/4,z+3/4'
'-x+1/4,y+1/2,-z+3/4'
'x+1/4,-y+1/2,z+3/4'
'x+1/2,y,z+1/2'
'-x+1/2,-y,-z+1/2'
'-x+3/4,-y+1/4,z+1/2'
'x+3/4,y+1/4,-z+1/2'
'x+1/2,-y+1/4,-z+3/4'
'-x+1/2,y+1/4,z+3/4'
'-x+3/4,y,-z+3/4'
'x+3/4,-y,z+3/4'
'x+1/2,y+1/2,z'
'-x+1/2,-y+1/2,-z'
'-x+3/4,-y+3/4,z'
'x+3/4,y+3/4,-z'
'x+1/2,-y+3/4,-z+1/4'
'-x+1/2,y+3/4,z+1/4'
'-x+3/4,y+1/2,-z+1/4'
'x+3/4,-y+1/2,z+1/4'
loop_
_atom_site_label
_atom_site_fract_x
_atom_site_fract_y
_atom_site_fract_z
_atom_site_occupancy
Hf1 0.116 0.375 0.375 1
Hf2 0.119 0.366 0.205 1
C1 0.125 0.125 0.042 1
C2 0.125 0.125 0.375 1
```

Energy relative to the lowest polymorph listed for this composition (eV per atom): 0.000
DOS(E_F) (states/eV/atom): 0.25
Energy of formation (eV/atom): -0.832
Crystal system: orthorhombic
Total magnetization (μB/cell): 0.0

***

Here is a geometry-optimized DyHSe structure from Alexandria via LeMat-Bulk. Energies are from PBE.

Geometry as CIF:
```
data_DyHSe
_symmetry_space_group_name_H-M 'F -4 3 m'
_symmetry_Int_Tables_number 216
_symmetry_space_group_name_Hall 'F -4 2 3'
_cell_length_a 6.367
_cell_length_b 6.367
_cell_length_c 6.367
_cell_angle_alpha 90.00
_cell_angle_beta 90.00
_cell_angle_gamma 90.00
loop_
_atom_site_label
_atom_site_fract_x
_atom_site_fract_y
_atom_site_fract_z
_atom_site_occupancy
Dy1 0.000 0.000 0.000 1
H1 0.250 0.250 0.750 1
Se1 0.250 0.250 0.250 1
```

DOS(E_F) (states/eV/atom): 0.00
Electronic total energy (eV/atom): -4.862
Crystal system: cubic
Total magnetization (μB/cell): 0.0

***

Here is a geometry-optimized Ac2MnAgSe5 structure from Alexandria via LeMat-Bulk. Energies are from PBE.

Geometry as CIF:
```
data_Ac2MnAgSe5
_symmetry_space_group_name_H-M 'C m c 21'
_symmetry_Int_Tables_number 36
_symmetry_space_group_name_Hall 'C 2c -2'
_cell_length_a 4.395
_cell_length_b 18.181
_cell_length_c 11.584
_cell_angle_alpha 90.00
_cell_angle_beta 90.00
_cell_angle_gamma 90.00
loop_
_atom_site_label
_atom_site_fract_x
_atom_site_fract_y
_atom_site_fract_z
_atom_site_occupancy
Ac1 0.000 0.104 0.000 1
Ac2 0.000 0.132 0.380 1
Mn1 0.000 0.404 0.174 1
Ag1 0.000 0.216 0.692 1
Se1 0.000 0.032 0.737 1
Se2 0.000 0.291 0.035 1
Se3 0.000 0.317 0.345 1
Se4 0.000 0.362 0.690 1
Se5 0.000 0.476 0.988 1
```

Formation energy from raw total energies (meV/atom): -1277
DOS(E_F) (states/eV/atom): 0.06
Crystal system: orthorhombic
Total magnetization (μB/cell): 16.0

***

Here is a geometry-optimized Tb2Ag3 structure from Alexandria via LeMat-Bulk. Energies are from PBE.

Geometry as CIF:
```
data_Tb2Ag3
_symmetry_space_group_name_H-M 'I b a m'
_symmetry_Int_Tables_number 72
_symmetry_space_group_name_Hall '-I 2 2c'
_cell_length_a 6.523
_cell_length_b 13.050
_cell_length_c 5.592
_cell_angle_alpha 90.00
_cell_angle_beta 90.00
_cell_angle_gamma 90.00
loop_
_atom_site_label
_atom_site_fract_x
_atom_site_fract_y
_atom_site_fract_z
_atom_site_occupancy
Tb1 0.218 0.172 0.000 1
Ag1 0.000 0.000 0.250 1
Ag2 0.148 0.414 0.000 1
```

Energy relative to the lowest polymorph listed for this composition (eV per atom): 0.148
DOS(E_F) (states/eV/atom): 0.70
Energy of formation (eV/atom): -0.145
Crystal system: orthorhombic
Total magnetization (μB/cell): 0.0

***

Here is a geometry-optimized Sr2InGaTe5 structure from Alexandria via LeMat-Bulk. Energies are from PBE.

Geometry as CIF:
```
data_Sr2InGaTe5
_symmetry_space_group_name_H-M 'C m c 21'
_symmetry_Int_Tables_number 36
_symmetry_space_group_name_Hall 'C 2c -2'
_cell_length_a 4.347
_cell_length_b 21.014
_cell_length_c 13.344
_cell_angle_alpha 90.00
_cell_angle_beta 90.00
_cell_angle_gamma 90.00
loop_
_atom_site_label
_atom_site_fract_x
_atom_site_fract_y
_atom_site_fract_z
_atom_site_occupancy
Sr1 0.000 0.112 0.000 1
Sr2 0.000 0.117 0.620 1
In1 0.000 0.228 0.348 1
Ga1 0.000 0.435 0.773 1
Te1 0.000 0.041 0.385 1
Te2 0.000 0.279 0.002 1
Te3 0.000 0.315 0.702 1
Te4 0.000 0.362 0.313 1
Te5 0.000 0.495 0.600 1
```

Formation energy from raw total energies (meV/atom): -917
Crystal system: orthorhombic
Total magnetization (μB/cell): 0.0

***

Question: What is the total magnetization in the third record?
Answer: 0.0 μB/cell

***

What did the ninth record say?
Here is a geometry-optimized DyHSe structure from Alexandria via LeMat-Bulk. Energies are from PBE.

Geometry as CIF:
```
data_DyHSe
_symmetry_space_group_name_H-M 'F -4 3 m'
_symmetry_Int_Tables_number 216
_symmetry_space_group_name_Hall 'F -4 2 3'
_cell_length_a 6.367
_cell_length_b 6.367
_cell_length_c 6.367
_cell_angle_alpha 90.00
_cell_angle_beta 90.00
_cell_angle_gamma 90.00
loop_
_atom_site_label
_atom_site_fract_x
_atom_site_fract_y
_atom_site_fract_z
_atom_site_occupancy
Dy1 0.000 0.000 0.000 1
H1 0.250 0.250 0.750 1
Se1 0.250 0.250 0.250 1
```

DOS(E_F) (states/eV/atom): 0.00
Electronic total energy (eV/atom): -4.862
Crystal system: cubic
Total magnetization (μB/cell): 0.0

***

Question: The highest total magnetization belongs to which entry?
Answer: KCo4Ru